1.
The following is a PBE-GGA calculation of crystalline K2CdBiH at its relaxed geometry, from Alexandria.

abc: 4.935 4.935 5.611
angles: 90.00 90.00 90.00
Atoms (fractional coordinates):
K (0.500, 0.000, 0.000)
K (0.000, 0.500, 0.000)
Bi (0.500, 0.500, 0.500)
H (0.000, 0.000, 0.000)
Cd (0.000, 0.000, 0.500)

Calculated values
SG	P4/mmm (123)
calculated density	4.869	g cm⁻³
crystal system	tetragonal
E above lowest polymorph	17.51	kJ/mol of atoms

***

2.
The following is a PBE-GGA calculation of crystalline Pa2AlS at its relaxed geometry, from Alexandria.

abc: 3.410 3.410 8.983
angles: 79.06 79.06 60.00
Atoms (fractional coordinates):
S (0.000, 0.000, 0.000)
Al (0.500, 0.500, 0.500)
Pa (0.740, 0.740, 0.779)
Pa (0.260, 0.260, 0.221)

Calculated values
SG	R-3m (166)
calculated density	9.803	g cm⁻³
ΔE_f (raw)	-0.65	eV per atom
crystal system	trigonal

***

3.
The following is a PBE-GGA calculation of crystalline BiSbCl6 at its relaxed geometry, from Alexandria.

abc: 7.167 8.204 8.204
angles: 68.11 73.07 106.93
Atoms (fractional coordinates):
Cl (0.419, 0.262, 0.738)
Cl (0.843, 0.262, 0.000)
Cl (0.843, 0.000, 0.738)
Cl (0.157, 0.738, 0.000)
Cl (0.581, 0.738, 0.262)
Cl (0.157, 0.000, 0.262)
Bi (0.500, 0.000, 0.000)
Sb (0.000, 0.000, 0.000)

Calculated values
SG	R-3m (166)
calculated density	2.360	g cm⁻³
ΔE_f (raw)	-0.87	eV per atom
crystal system	trigonal
E above lowest polymorph	1.00	kJ/mol of atoms

***

4.
The following is a PBE-GGA calculation of crystalline Sm6DyHg2 at its relaxed geometry, from Alexandria.

abc: 3.776 6.681 11.854
angles: 75.60 80.84 73.58
Atoms (fractional coordinates):
Sm (0.313, 0.498, 0.876)
Sm (0.310, 0.791, 0.589)
Sm (0.980, 0.703, 0.337)
Sm (0.687, 0.502, 0.124)
Sm (0.690, 0.209, 0.411)
Sm (0.020, 0.297, 0.663)
Dy (0.000, 0.000, 0.000)
Hg (0.361, 0.080, 0.198)
Hg (0.639, 0.920, 0.802)

Calculated values
SG	C2/m (12)
calculated density	8.801	g cm⁻³
crystal system	monoclinic
energy of formation from the pure elements	-0.210	eV per atom